Record 1
LaTcMo2: relaxed, GGA-PBE.

Properties
* density of states at the Fermi level: 3.694 states/eV/f.u.
* volume: 19.98 Å³/atom
* size of the total moment: 0.0000 μB/atom
* E_form: 0.454 eV/atom

The structure in CIF format:
```
data_LaTcMo2
_cell_length_a 2.989
_cell_length_b 4.200
_cell_length_c 6.505
_cell_angle_alpha 90.00
_cell_angle_beta 101.89
_cell_angle_gamma 90.00
_symmetry_space_group_name_H-M 'P 1 2/m 1'
_symmetry_Int_Tables_number 10
_symmetry_space_group_name_Hall '-P 2y'
loop_
_atom_site_label
_atom_site_type_symbol
_atom_site_fract_x
_atom_site_fract_y
_atom_site_fract_z
_atom_site_occupancy
La1 La 0.000 0.000 0.000 1
Tc1 Tc 0.500 0.000 0.500 1
Mo1 Mo 0.243 0.500 0.678 1
```


Record 2
LaTcMo: relaxed, GGA-PBE.

Properties
* density of states at the Fermi level: 2.191 states/eV/f.u.
* volume: 19.47 Å³/atom
* size of the total moment: 0.0000 μB/atom
* E_form: 0.477 eV/atom

The structure in CIF format:
```
data_LaTcMo
_cell_length_a 3.243
_cell_length_b 5.019
_cell_length_c 14.350
_cell_angle_alpha 90.00
_cell_angle_beta 90.00
_cell_angle_gamma 90.00
_symmetry_space_group_name_H-M 'F m m 2'
_symmetry_Int_Tables_number 42
_symmetry_space_group_name_Hall 'F 2 -2'
loop_
_atom_site_label
_atom_site_type_symbol
_atom_site_fract_x
_atom_site_fract_y
_atom_site_fract_z
_atom_site_occupancy
La1 La 0.000 0.000 0.000 1
Tc1 Tc 0.000 0.000 0.677 1
Mo1 Mo 0.000 0.000 0.311 1
```


Record 3
LaTcMo2: relaxed, GGA-PBE.

Properties
* density of states at the Fermi level: 4.979 states/eV/f.u.
* volume: 19.53 Å³/atom
* size of the total moment: 0.0000 μB/atom
* E_form: 0.398 eV/atom

The structure in CIF format:
```
data_LaTcMo2
_cell_length_a 3.176
_cell_length_b 3.176
_cell_length_c 7.744
_cell_angle_alpha 90.00
_cell_angle_beta 90.00
_cell_angle_gamma 90.00
_symmetry_space_group_name_H-M 'P 4/m m m'
_symmetry_Int_Tables_number 123
_symmetry_space_group_name_Hall '-P 4 2'
loop_
_atom_site_label
_atom_site_type_symbol
_atom_site_fract_x
_atom_site_fract_y
_atom_site_fract_z
_atom_site_occupancy
La1 La 0.000 0.000 0.000 1
Tc1 Tc 0.000 0.000 0.500 1
Mo1 Mo 0.500 0.500 0.314 1
```


Record 4
La2TcMo: relaxed, GGA-PBE.

Properties
* density of states at the Fermi level: 5.231 states/eV/f.u.
* volume: 23.14 Å³/atom
* size of the total moment: 0.2612 μB/atom
* E_form: 0.873 eV/atom

The structure in CIF format:
```
data_La2TcMo
_cell_length_a 7.760
_cell_length_b 7.760
_cell_length_c 6.148
_cell_angle_alpha 90.00
_cell_angle_beta 90.00
_cell_angle_gamma 90.00
_symmetry_space_group_name_H-M 'I -4 2 d'
_symmetry_Int_Tables_number 122
_symmetry_space_group_name_Hall 'I -4 2bw'
loop_
_atom_site_label
_atom_site_type_symbol
_atom_site_fract_x
_atom_site_fract_y
_atom_site_fract_z
_atom_site_occupancy
La1 La 0.232 0.750 0.125 1
Tc1 Tc 0.000 0.000 0.000 1
Mo1 Mo 0.000 0.000 0.500 1
```


Record 5
LaTcMo: relaxed, GGA-PBE.

Properties
* density of states at the Fermi level: 3.102 states/eV/f.u.
* volume: 20.62 Å³/atom
* size of the total moment: 0.0000 μB/atom
* E_form: 0.208 eV/atom

The structure in CIF format:
```
data_LaTcMo
_cell_length_a 3.209
_cell_length_b 3.209
_cell_length_c 12.013
_cell_angle_alpha 90.00
_cell_angle_beta 90.00
_cell_angle_gamma 90.00
_symmetry_space_group_name_H-M 'I 4 m m'
_symmetry_Int_Tables_number 107
_symmetry_space_group_name_Hall 'I 4 -2'
loop_
_atom_site_label
_atom_site_type_symbol
_atom_site_fract_x
_atom_site_fract_y
_atom_site_fract_z
_atom_site_occupancy
La1 La 0.000 0.000 0.000 1
Tc1 Tc 0.000 0.000 0.697 1
Mo1 Mo 0.000 0.000 0.300 1
```


Record 6
LaTcMo2: relaxed, GGA-PBE.

Properties
* density of states at the Fermi level: 4.545 states/eV/f.u.
* volume: 18.16 Å³/atom
* size of the total moment: 0.0000 μB/atom
* E_form: 0.566 eV/atom

The structure in CIF format:
```
data_LaTcMo2
_cell_length_a 5.572
_cell_length_b 9.388
_cell_length_c 2.945
_cell_angle_alpha 90.00
_cell_angle_beta 109.43
_cell_angle_gamma 90.00
_symmetry_space_group_name_H-M 'C 1 2/m 1'
_symmetry_Int_Tables_number 12
_symmetry_space_group_name_Hall '-C 2y'
loop_
_atom_site_label
_atom_site_type_symbol
_atom_site_fract_x
_atom_site_fract_y
_atom_site_fract_z
_atom_site_occupancy
La1 La 0.000 0.000 0.000 1
Tc1 Tc 0.000 0.500 0.000 1
Mo1 Mo 0.250 0.250 0.500 1
```


Record 7
LaTcMo: relaxed, GGA-PBE.

Properties
* density of states at the Fermi level: 2.819 states/eV/f.u.
* volume: 20.71 Å³/atom
* size of the total moment: 0.0000 μB/atom
* E_form: 1.563 eV/atom

The structure in CIF format:
```
data_LaTcMo
_cell_length_a 6.287
_cell_length_b 6.287
_cell_length_c 6.287
_cell_angle_alpha 90.00
_cell_angle_beta 90.00
_cell_angle_gamma 90.00
_symmetry_space_group_name_H-M 'F -4 3 m'
_symmetry_Int_Tables_number 216
_symmetry_space_group_name_Hall 'F -4 2 3'
loop_
_atom_site_label
_atom_site_type_symbol
_atom_site_fract_x
_atom_site_fract_y
_atom_site_fract_z
_atom_site_occupancy
La1 La 0.000 0.000 0.000 1
Tc1 Tc 0.250 0.250 0.750 1
Mo1 Mo 0.250 0.250 0.250 1
```


Record 8
LaTcMo2: relaxed, GGA-PBE.

Properties
* density of states at the Fermi level: 4.140 states/eV/f.u.
* volume: 18.71 Å³/atom
* size of the total moment: 0.0000 μB/atom
* E_form: 0.551 eV/atom

The structure in CIF format:
```
data_LaTcMo2
_cell_length_a 3.208
_cell_length_b 5.122
_cell_length_c 9.108
_cell_angle_alpha 90.00
_cell_angle_beta 90.00
_cell_angle_gamma 90.00
_symmetry_space_group_name_H-M 'I m m 2'
_symmetry_Int_Tables_number 44
_symmetry_space_group_name_Hall 'I 2 -2'
loop_
_atom_site_label
_atom_site_type_symbol
_atom_site_fract_x
_atom_site_fract_y
_atom_site_fract_z
_atom_site_occupancy
La1 La 0.000 0.000 0.000 1
Tc1 Tc 0.000 0.500 0.236 1
Mo1 Mo 0.000 0.000 0.501 1
Mo2 Mo 0.000 0.500 0.767 1
```


Record 9
La2TcMo: relaxed, GGA-PBE.

Properties
* density of states at the Fermi level: 5.581 states/eV/f.u.
* volume: 21.63 Å³/atom
* size of the total moment: 0.0000 μB/atom
* E_form: 0.597 eV/atom

The structure in CIF format:
```
data_La2TcMo
_cell_length_a 3.472
_cell_length_b 5.416
_cell_length_c 9.204
_cell_angle_alpha 90.00
_cell_angle_beta 90.00
_cell_angle_gamma 90.00
_symmetry_space_group_name_H-M 'I m m m'
_symmetry_Int_Tables_number 71
_symmetry_space_group_name_Hall '-I 2 2'
loop_
_atom_site_label
_atom_site_type_symbol
_atom_site_fract_x
_atom_site_fract_y
_atom_site_fract_z
_atom_site_occupancy
La1 La 0.000 0.000 0.245 1
Tc1 Tc 0.000 0.500 0.500 1
Mo1 Mo 0.000 0.500 0.000 1
```


Record 10
La2TcMo: relaxed, GGA-PBE.

Properties
* density of states at the Fermi level: 4.385 states/eV/f.u.
* volume: 24.99 Å³/atom
* size of the total moment: 0.0000 μB/atom
* E_form: 0.248 eV/atom

The structure in CIF format:
```
data_La2TcMo
_cell_length_a 3.544
_cell_length_b 5.224
_cell_length_c 10.801
_cell_angle_alpha 90.00
_cell_angle_beta 90.00
_cell_angle_gamma 90.00
_symmetry_space_group_name_H-M 'I m m 2'
_symmetry_Int_Tables_number 44
_symmetry_space_group_name_Hall 'I 2 -2'
loop_
_atom_site_label
_atom_site_type_symbol
_atom_site_fract_x
_atom_site_fract_y
_atom_site_fract_z
_atom_site_occupancy
La1 La 0.000 0.000 0.000 1
La2 La 0.000 0.500 0.220 1
Tc1 Tc 0.000 0.000 0.443 1
Mo1 Mo 0.000 0.500 0.790 1
```


Record 11
LaTcMo: relaxed, GGA-PBE.

Properties
* density of states at the Fermi level: 3.242 states/eV/f.u.
* volume: 20.41 Å³/atom
* size of the total moment: 0.0000 μB/atom
* E_form: 0.169 eV/atom

The structure in CIF format:
```
data_LaTcMo
_cell_length_a 5.7058
_cell_length_b 5.7058
_cell_length_c 39.0940
_cell_angle_alpha 90.00
_cell_angle_beta 90.00
_cell_angle_gamma 120.00
_symmetry_space_group_name_H-M 'R -3 m'
_symmetry_Int_Tables_number 166
_symmetry_space_group_name_Hall '-R 3 2"'
loop_
_atom_site_label
_atom_site_type_symbol
_atom_site_fract_x
_atom_site_fract_y
_atom_site_fract_z
_atom_site_occupancy
La1 La 0.0000 0.0000 0.0435 1
La2 La 0.0000 0.0000 0.1804 1
La3 La 0.0000 0.0000 0.2620 1
Tc1 Tc 0.0049 0.5024 0.7788 1
Mo1 Mo 0.0000 0.0000 0.3936 1
Mo2 Mo 0.0000 0.0000 0.5000 1
Mo3 Mo 0.0000 0.5000 0.0000 1
```


Record 12
LaTc2Mo: relaxed, GGA-PBE.

Properties
* density of states at the Fermi level: 4.424 states/eV/f.u.
* volume: 18.71 Å³/atom
* size of the total moment: 0.0000 μB/atom
* E_form: 0.505 eV/atom

The structure in CIF format:
```
data_LaTc2Mo
_cell_length_a 3.171
_cell_length_b 5.180
_cell_length_c 9.109
_cell_angle_alpha 90.00
_cell_angle_beta 90.00
_cell_angle_gamma 90.00
_symmetry_space_group_name_H-M 'I m m m'
_symmetry_Int_Tables_number 71
_symmetry_space_group_name_Hall '-I 2 2'
loop_
_atom_site_label
_atom_site_type_symbol
_atom_site_fract_x
_atom_site_fract_y
_atom_site_fract_z
_atom_site_occupancy
La1 La 0.000 0.000 0.000 1
Tc1 Tc 0.000 0.500 0.225 1
Mo1 Mo 0.000 0.000 0.500 1
```